Entry 1:
LaCeAl2 | the Alexandria database | PBE | relaxed; calculated volume = 104.0 Å³/f.u.; Fermi-level density of states = 1.50 states/eV/atom; raw total energy = -39.1 eV/cell; ΔE to the lowest computed polymorph = 0.21 eV/f.u.
1.0
4.7322 0.0000 0.0000
-2.3661 5.9013 0.0000
0.0000 0.0000 7.4503
Ce Al La
2 4 2
Cartesian
2.3661 3.1575 5.5877
0.0000 2.7438 1.8626
0.0000 4.7014 6.8870
0.0000 4.7014 4.2885
2.3661 1.1998 0.5633
2.3661 1.1998 3.1618
0.0000 0.8540 5.5877
2.3661 5.0473 1.8626

=====

Entry 2:
La2CeAl | the Alexandria database | PBE | relaxed; calculated volume = 116.6 Å³/f.u.; Fermi-level density of states = 2.00 states/eV/atom; raw total energy = -20.1 eV/cell; ΔE to the lowest computed polymorph = 0.00 eV/f.u.
1.0
4.7913 0.0000 0.0000
0.0000 4.9323 0.0000
0.0000 0.0000 4.9323
Al La Ce
1 2 1
Cartesian
2.3956 0.0000 0.0000
0.0000 0.0000 2.4661
0.0000 2.4661 0.0000
2.3956 2.4661 2.4661

=====

Entry 3:
LaCe4Al4 | the Alexandria database | PBE | relaxed; calculated volume = 215.1 Å³/f.u.; Fermi-level density of states = 2.08 states/eV/atom; raw total energy = -90.2 eV/cell
1.0
-0.2480 2.7450 3.2592
-10.0214 -0.4336 -0.3972
0.0756 -7.6752 6.4699
La Ce Al
2 8 8
Cartesian
-5.0969 -2.6819 4.6660
0.0000 0.0000 0.0000
-3.0735 -5.4170 4.3285
-6.8723 -2.6918 1.7443
-1.9952 -0.1527 2.7718
-8.2462 -0.4236 2.5243
-7.0922 -2.8348 7.4379
-3.3495 0.2160 5.1532
-8.1986 -5.2111 6.5601
-1.9475 -4.9403 6.8076
-6.4209 -7.9554 6.2129
-8.6218 -2.8354 4.5258
-5.1239 0.0184 2.3909
-5.0699 -5.3810 6.9425
-3.5250 -0.1522 -0.1387
-10.2423 -0.3889 5.1370
-1.5718 -2.5297 4.8047
-0.1993 -2.2311 7.4527

=====

Entry 4:
LaCeAl2 | the Alexandria database | PBE | relaxed; calculated volume = 104.8 Å³/f.u.; Fermi-level density of states = 1.39 states/eV/atom; raw total energy = -39.5 eV/cell; ΔE to the lowest computed polymorph = 0.00 eV/f.u.
1.0
-3.3695 0.0837 3.2183
2.0726 -2.8920 2.2452
4.1402 9.2074 4.0953
Ce La Al
2 2 4
Cartesian
0.1214 2.5369 5.1223
2.7220 3.8621 4.4365
-0.3474 -1.1672 4.7278
3.1907 7.5662 4.8310
0.7226 0.8702 2.4210
0.2928 5.7885 5.2173
2.1207 5.5289 7.1378
2.5506 0.6106 4.3416

=====

Entry 5:
LaCe2Al9 | the Alexandria database | PBE | relaxed; calculated volume = 245.9 Å³/f.u.; Fermi-level density of states = 1.05 states/eV/atom; raw total energy = -55.0 eV/cell
1.0
-2.4596 -3.3329 3.8489
3.0059 -1.9775 4.3619
-2.0401 5.3830 7.5111
Al Ce La
9 2 1
Cartesian
0.0448 2.6254 8.4891
1.2508 -1.8610 7.4946
-2.7446 1.9336 8.2273
-1.8446 3.5698 10.2193
-1.2105 0.9243 10.4535
-0.7469 0.0363 7.8610
-1.5387 -2.5528 7.2328
-0.2833 -0.8517 5.2684
0.3508 -3.4972 5.5026
-0.4059 -2.2455 10.2564
-1.0880 2.3181 5.4655
0.0000 0.0000 0.0000

=====

Entry 6:
LaCeAl2 | the Alexandria database | PBE | relaxed; calculated volume = 104.5 Å³/f.u.; Fermi-level density of states = 1.58 states/eV/atom; raw total energy = -19.5 eV/cell; ΔE to the lowest computed polymorph = 0.26 eV/f.u.
1.0
5.2874 0.0000 0.0000
2.6437 4.5790 0.0000
2.6437 1.5263 4.3172
La Al Ce
1 2 1
Cartesian
0.0000 0.0000 0.0000
2.6437 1.5263 1.0793
7.9311 4.5790 3.2379
5.2874 3.0527 2.1586